Below is a geometry-optimized Pm2Tm7 structure, with properties calculated at the GGA-PBE level.

extended XYZ file:
```
9
Lattice="6.103 0.000 0.000 -3.052 5.285 0.000 0.000 0.000 8.625" Properties=species:S:1:pos:R:3 pbc="T T T"
Pm 0.000 3.524 0.000
Tm 1.014 1.757 2.900
Tm 2.028 0.000 5.725
Tm -2.037 3.529 2.900
Tm 0.000 0.000 0.000
Tm 2.037 3.529 5.725
Tm -1.014 1.757 5.725
Tm 4.075 0.000 2.900
Pm 3.052 1.762 0.000
```

Output
As for the formation energy: 25.4 meV/atom. The value obtained for the total energy is -40.57 eV for the cell shown. For the size of the total moment, the calculation gives 0.000 μB/atom. For the volume, the calculation gives 278.2 Å³/cell.

=====

Below is a geometry-optimized PmTm structure, with properties calculated at the GGA-PBE level.

extended XYZ file:
```
2
Lattice="-2.656 0.236 -3.728 -2.476 -3.637 -1.284 -4.562 0.064 0.437" Properties=species:S:1:pos:R:3 pbc="T T T"
Tm -4.847 -1.668 -2.288
Pm 0.000 0.000 0.000
```

Output
As for the formation energy: 719.7 meV/atom. As for the relative energy among the computed polymorphs: 0.704 eV/atom. The value obtained for the total energy is -7.78 eV for the cell shown. For the size of the total moment, the calculation gives 0.383 μB/atom. For the volume, the calculation gives 68.1 Å³/cell.

=====

Below is a geometry-optimized Pm6Tm7 structure, with properties calculated at the GGA-PBE level.

extended XYZ file:
```
13
Lattice="-0.123 6.450 1.625 -5.819 3.076 0.967 -1.607 0.361 12.063" Properties=species:S:1:pos:R:3 pbc="T T T"
Pm -5.773 8.253 7.657
Tm -4.621 2.631 9.588
Tm -5.794 5.558 4.735
Tm -4.683 5.877 10.406
Tm -2.928 7.256 5.066
Tm -1.755 4.329 9.919
Pm -1.776 1.634 6.997
Tm -3.775 4.944 7.327
Pm -5.888 9.122 4.198
Pm -1.981 3.174 0.868
Tm -2.866 4.010 4.249
Pm -1.661 0.765 10.457
Pm -5.569 6.713 13.786
```

Output
As for the formation energy: 261.1 meV/atom. The value obtained for the total energy is -56.41 eV for the cell shown. For the size of the total moment, the calculation gives 0.797 μB/atom. For the volume, the calculation gives 442.8 Å³/cell.

=====

Below is a geometry-optimized Pm3Tm8 structure, with properties calculated at the GGA-PBE level.

extended XYZ file:
```
11
Lattice="7.155 -0.200 -0.195 -0.019 7.158 -0.195 -0.019 -0.018 7.161" Properties=species:S:1:pos:R:3 pbc="T T T"
Pm -0.019 3.570 3.483
Tm 2.476 2.414 2.355
Tm 0.736 6.583 1.988
Pm 3.568 3.479 -0.195
Tm 4.642 4.526 4.415
Tm 6.382 0.357 4.782
Pm 3.568 -0.109 3.483
Tm 4.950 6.259 0.239
Tm 0.519 4.938 6.251
Tm 2.168 0.681 6.531
Tm 6.599 2.002 0.519
```

Output
As for the formation energy: 588.9 meV/atom. As for the relative energy among the computed polymorphs: 0.564 eV/atom. The value obtained for the total energy is -43.55 eV for the cell shown. For the size of the total moment, the calculation gives 0.000 μB/atom. For the volume, the calculation gives 366.7 Å³/cell.

=====

Below is a geometry-optimized PmTm structure, with properties calculated at the GGA-PBE level.

extended XYZ file:
```
4
Lattice="-0.767 3.560 -0.241 -5.460 -1.246 -1.026 -1.194 0.160 6.161" Properties=species:S:1:pos:R:3 pbc="T T T"
Tm -3.132 -0.569 1.560
Tm -0.009 0.001 0.046
Pm -4.119 1.292 4.550
Pm -0.984 1.860 2.976
```

Output
As for the formation energy: 15.6 meV/atom. As for the relative energy among the computed polymorphs: 0.000 eV/atom. The value obtained for the total energy is -18.38 eV for the cell shown. For the size of the total moment, the calculation gives 0.000 μB/atom. For the volume, the calculation gives 130.5 Å³/cell.

=====

Below is a geometry-optimized Pm4Tm5 structure, with properties calculated at the GGA-PBE level.

extended XYZ file:
```
9
Lattice="3.531 0.001 0.952 1.690 8.880 0.738 -0.536 -0.898 9.008" Properties=species:S:1:pos:R:3 pbc="T T T"
Tm 3.773 7.989 7.056
Pm 1.953 4.915 6.793
Tm 1.653 3.252 0.885
Tm -0.443 -0.489 8.662
Pm 2.794 8.611 3.666
Tm 0.948 5.620 3.495
Pm 3.473 6.326 1.148
Tm 0.113 1.952 6.598
Pm 2.632 2.630 4.274
```

Output
As for the formation energy: 32.9 meV/atom. As for the relative energy among the computed polymorphs: 0.000 eV/atom. The value obtained for the total energy is -41.06 eV for the cell shown. For the size of the total moment, the calculation gives 0.000 μB/atom. For the volume, the calculation gives 287.8 Å³/cell.